(1)
CdWN2O after structural relaxation. Source: Alexandria, functional PBE with a Hubbard U.

```
5
Lattice="-3.901 -0.496 1.302 1.024 -3.644 1.681 0.928 1.872 3.493" Properties=species:S:1:pos:R:3 pbc="T T T"
N 0.512 -1.822 0.840
N -1.950 -0.248 0.651
O 0.464 0.936 1.746
W -0.974 -1.134 3.238
Cd 0.000 0.000 0.000
```

D(E_F)	2.73	states/eV/f.u.
magnetization	1.56	μB per formula unit
total DFT energy (no corrections)	-4.166	eV per atom


(2)
MoN2F after structural relaxation. Source: Alexandria, functional PBE with a Hubbard U.

```
4
Lattice="2.259 2.070 2.082 -0.552 0.240 3.655 2.368 -1.623 2.342" Properties=species:S:1:pos:R:3 pbc="T T T"
Mo 2.037 0.344 4.039
N 1.019 0.172 2.020
N 3.056 0.516 6.059
F 0.000 0.000 0.000
```

D(E_F)	1.80	states/eV/f.u.
magnetization	0.00	μB per formula unit
total DFT energy (no corrections)	-5.359	eV per atom